(1)
## AgTeW2 (GGA-PBE)

Data for a relaxed structure of AgTeW2. Values from VASP.

Properties
ρ	13.47	g/cm3
raw total energy	-6.924	eV/atom
calculated volume	74.3	Å³/cell
formation energy (no corrections)	1.05	eV per atom
symmetry	I4/mmm, No. 139

Geometry as Quantum ESPRESSO input:
```
&SYSTEM
  ibrav = 0, nat = 4, ntyp = 3
/
ATOMIC_SPECIES
W 183.84 W.upf
Ag 107.87 Ag.upf
Te 127.60 Te.upf
ATOMIC_POSITIONS crystal
W 0.0000 0.0000 0.0000
W 0.5000 0.5000 0.0000
Ag 0.2500 0.7500 0.5000
Te 0.7500 0.2500 0.5000
CELL_PARAMETERS angstrom
5.5264 0.0024 0.0000
2.7043 4.8195 0.0000
-4.1154 -2.4109 2.7914
```


(2)
## Ag2TeW (GGA-PBE)

Data for a relaxed structure of Ag2TeW. Values from VASP.

Properties
ρ	11.70	g/cm3
raw total energy	-4.715	eV/atom
calculated volume	74.8	Å³/cell
formation energy (no corrections)	0.73	eV per atom
symmetry	I-4m2, No. 119

Geometry as Quantum ESPRESSO input:
```
&SYSTEM
  ibrav = 0, nat = 4, ntyp = 3
/
ATOMIC_SPECIES
W 183.84 W.upf
Te 127.60 Te.upf
Ag 107.87 Ag.upf
ATOMIC_POSITIONS crystal
W 0.2498 0.7501 0.5000
Te 0.5002 0.4998 0.0000
Ag 0.7499 0.2502 0.5000
Ag 0.0002 0.9999 0.0000
CELL_PARAMETERS angstrom
-4.5048 1.9485 -1.6489
-3.6432 -0.6456 3.6219
4.7829 1.9797 0.1949
```